Entry 1:
# Re2AgC (GGA-PBE, relaxed)
# - DOS at the Fermi energy (states/eV/cell) = 8.78
# - E_form (eV/atom) = 1.3671
data_Re2AgC
_chemical_formula_sum 'Re8 Ag4 C4'
_space_group_name_H-M_alt 'I -4 2 d'
_space_group_IT_number 122
_space_group_name_Hall 'I -4 2bw'
_cell_length_a 4.781
_cell_length_b 4.781
_cell_length_c 12.122
_cell_angle_alpha 90.00
_cell_angle_beta 90.00
_cell_angle_gamma 90.00
loop_
_atom_site_label
_atom_site_type_symbol
_atom_site_fract_x
_atom_site_fract_y
_atom_site_fract_z
Re1 Re 0.111 0.250 0.125
Ag1 Ag 0.000 0.000 0.500
C1 C 0.000 0.000 0.000

***

Entry 2:
# Ac8PIr3I3 (GGA-PBE, relaxed)
# - DOS at the Fermi energy (states/eV/cell) = 28.82
# - ΔE_f (raw) (kJ/mol of atoms) = -92.8
data_Ac8PIr3I3
_chemical_formula_sum 'Ac24 P3 Ir9 I9'
_space_group_name_H-M_alt 'R -3 m'
_space_group_IT_number 166
_space_group_name_Hall '-R 3 2"'
_cell_length_a 8.9233
_cell_length_b 8.9233
_cell_length_c 25.1128
_cell_angle_alpha 90.00
_cell_angle_beta 90.00
_cell_angle_gamma 120.00
loop_
_atom_site_label
_atom_site_type_symbol
_atom_site_fract_x
_atom_site_fract_y
_atom_site_fract_z
Ac1 Ac 0.0000 0.0000 0.2294
Ac2 Ac 0.0131 0.5066 0.7704
P1 P 0.0000 0.0000 0.5000
Ir1 Ir 0.0000 0.5000 0.5000
I1 I 0.0000 0.5000 0.0000

***

Entry 3:
# Pu2ThOs9 (GGA-PBE, relaxed)
# - DOS at the Fermi energy (states/eV/cell) = 22.71
# - E_form (eV/atom) = -0.0168
data_Pu2ThOs9
_chemical_formula_sum 'Pu2 Th1 Os9'
_space_group_name_H-M_alt 'P -1'
_space_group_IT_number 2
_cell_length_a 5.262
_cell_length_b 5.354
_cell_length_c 9.245
_cell_angle_alpha 106.52
_cell_angle_beta 90.53
_cell_angle_gamma 118.76
loop_
_space_group_symop_operation_xyz
'x,y,z'
'-x,-y,-z'
loop_
_atom_site_label
_atom_site_type_symbol
_atom_site_fract_x
_atom_site_fract_y
_atom_site_fract_z
Pu1 Pu 0.138 0.281 0.424
Th1 Th 0.000 0.000 0.000
Os1 Os 0.081 0.662 0.251
Os2 Os 0.332 0.621 0.008
Os3 Os 0.410 0.341 0.738
Os4 Os 0.423 0.844 0.765
Os5 Os 0.500 0.000 0.500

***

Entry 4:
# Sr2YTl2 (GGA-PBE, relaxed)
# - DOS at the Fermi energy (states/eV/cell) = 9.60
# - polymorph energy (0 for the lowest one) (kcal/mol of atoms) = 3.940
# - E_form (eV/atom) = -0.0793
data_Sr2YTl2
_chemical_formula_sum 'Sr4 Y2 Tl4'
_space_group_name_H-M_alt 'P 4/m b m'
_space_group_IT_number 127
_space_group_name_Hall '-P 4 2ab'
_cell_length_a 9.730
_cell_length_b 9.730
_cell_length_c 3.653
_cell_angle_alpha 90.00
_cell_angle_beta 90.00
_cell_angle_gamma 90.00
loop_
_atom_site_label
_atom_site_type_symbol
_atom_site_fract_x
_atom_site_fract_y
_atom_site_fract_z
Sr1 Sr 0.130 0.370 0.000
Y1 Y 0.000 0.000 0.000
Tl1 Tl 0.169 0.669 0.500

***

Number 1: total moment 0.00 μB per formula unit, total energy -7.8757 eV per atom. Number 2: total moment 0.00 μB per formula unit, total energy -5.5954 eV per atom. Number 3: total moment 8.45 μB per formula unit, total energy -11.4461 eV per atom. Number 4: total moment 0.49 μB per formula unit, total energy -2.9914 eV per atom.